Na3CrBi: relaxed, PBE.

Properties
For the final energy, the calculation gives -2.98 eV/atom. Its energy of formation is 0.51 eV per atom. The energy above the most stable polymorph in this dataset comes out at 0.0000 eV/atom. The symmetry is Pm-3m.

```
5
Lattice="-4.719 -1.284 -3.434 3.617 -0.707 -4.705 0.605 -5.794 1.336" Properties=species:S:1:pos:R:3 pbc="T T T"
Na 1.808 -0.354 -2.353
Bi 0.000 0.000 0.000
Cr -0.249 -3.893 -3.402
Na -2.360 -0.642 -1.717
Na 0.302 -2.897 0.668
```